This record from Alexandria describes LiCoC2O6 after structural relaxation. The functional is PBE+U.

Lattice parameters (Å, degrees): 4.9533 7.7588 6.4679 90.00 105.98 90.00
Fractional positions:
1 Li 0.1524 0.0000 0.1424
2 Li 0.8476 0.5000 0.8576
3 Co 0.4942 0.0494 0.7407
4 Co 0.5058 0.5494 0.2593
5 C 0.3529 0.3021 0.8883
6 C 0.3740 0.2898 0.3794
7 C 0.6260 0.7898 0.6206
8 C 0.6471 0.8021 0.1117
9 O 0.2280 0.1516 0.8791
10 O 0.2310 0.4315 0.3703
11 O 0.2554 0.4401 0.9436
12 O 0.2923 0.1419 0.4232
13 O 0.3902 0.8150 0.6709
14 O 0.4145 0.7934 0.1708
15 O 0.5855 0.2934 0.8292
16 O 0.6098 0.3150 0.3291
17 O 0.7077 0.6419 0.5768
18 O 0.7446 0.9401 0.0564
19 O 0.7690 0.9315 0.6297
20 O 0.7720 0.6516 0.1209

Calculated values
Space-group type   P2_1
Total moment   0.1967 μB per atom
Offset from the most stable computed form   18.0 meV/atom